one:
The following is a DFT calculation (GGA-PBE) of a geometry-optimized HgBiF3 structure.

SG: No. 221

a b c (Å): 4.591 4.591 4.591
angles (deg): 90.00 90.00 90.00
Element x y z (fractional)
Hg 0.000 0.000 0.000
Bi 0.500 0.500 0.500
F 0.000 0.000 0.500
F 0.000 0.500 0.000
F 0.500 0.000 0.000

---

two:
The following is a DFT calculation (GGA-PBE) of a geometry-optimized HgBiF3 structure.

SG: No. 221

a b c (Å): 4.641 4.641 4.641
angles (deg): 90.00 90.00 90.00
Element x y z (fractional)
Hg 0.000 0.000 0.000
Bi 0.500 0.500 0.500
F 0.000 0.500 0.500
F 0.500 0.000 0.500
F 0.500 0.500 0.000

---

three:
The following is a DFT calculation (GGA-PBE) of a geometry-optimized HgBiF3 structure.

SG: No. 148

a b c (Å): 8.257 8.257 8.257
angles (deg): 45.00 45.00 45.00
Element x y z (fractional)
Hg 0.157 0.157 0.157
Hg 0.843 0.843 0.843
Bi 0.313 0.313 0.313
Bi 0.687 0.687 0.687
F 0.110 0.644 0.377
F 0.356 0.623 0.890
F 0.377 0.110 0.644
F 0.623 0.890 0.356
F 0.644 0.377 0.110
F 0.890 0.356 0.623

---

Energy above the most stable structure, in kJ/mol of atoms: one 85.8; two 3.4; three 0.0

---

one:
The following is a DFT calculation (GGA-PBE) of a geometry-optimized HgBiOF2 structure.

SG: No. 123

a b c (Å): 4.588 4.588 4.272
angles (deg): 90.00 90.00 90.00
Element x y z (fractional)
Hg 0.000 0.000 0.000
Bi 0.500 0.500 0.500
O 0.000 0.000 0.500
F 0.000 0.500 0.000
F 0.500 0.000 0.000

---

two:
The following is a DFT calculation (GGA-PBE) of a geometry-optimized HgBiOF2 structure.

SG: No. 123

a b c (Å): 4.466 4.466 5.945
angles (deg): 90.00 90.00 90.00
Element x y z (fractional)
Hg 0.000 0.000 0.000
Bi 0.000 0.000 0.500
O 0.500 0.500 0.000
F 0.000 0.500 0.500
F 0.500 0.000 0.500

---

Energy above the most stable structure, in kJ/mol of atoms: one 18.4; two 0.0